[1]
# BaInCu2 | Alexandria via LeMat-Bulk | PBE | relaxed
data_BaInCu2
_symmetry_space_group_name_H-M 'I m m 2'
_symmetry_Int_Tables_number 44
_symmetry_space_group_name_Hall 'I 2 -2'
_cell_length_a 4.358
_cell_length_b 6.093
_cell_length_c 8.058
_cell_angle_alpha 90.00
_cell_angle_beta 90.00
_cell_angle_gamma 90.00
loop_
_atom_site_label
_atom_site_type_symbol
_atom_site_fract_x
_atom_site_fract_y
_atom_site_fract_z
Ba1 Ba 0.000 0.000 0.000
In1 In 0.000 0.500 0.826
Cu1 Cu 0.000 0.000 0.539
Cu2 Cu 0.000 0.500 0.173
# VASP energy = -24.78 eV per cell


[2]
# BaIn3Cu | Alexandria via LeMat-Bulk | PBE | relaxed
data_BaIn3Cu
_symmetry_space_group_name_H-M 'P m -3 m'
_symmetry_Int_Tables_number 221
_symmetry_space_group_name_Hall '-P 4 2 3'
_cell_length_a 6.495
_cell_length_b 6.495
_cell_length_c 6.495
_cell_angle_alpha 90.00
_cell_angle_beta 90.00
_cell_angle_gamma 90.00
loop_
_atom_site_label
_atom_site_type_symbol
_atom_site_fract_x
_atom_site_fract_y
_atom_site_fract_z
Ba1 Ba 0.000 0.000 0.000
In1 In 0.000 0.000 0.500
Cu1 Cu 0.500 0.500 0.500
# VASP energy = -8.22 eV per cell


[3]
# BaInCu2 | Alexandria via LeMat-Bulk | PBE | relaxed
data_BaInCu2
_symmetry_space_group_name_H-M 'I -4 m 2'
_symmetry_Int_Tables_number 119
_symmetry_space_group_name_Hall 'I -4 -2'
_cell_length_a 4.686
_cell_length_b 4.686
_cell_length_c 9.120
_cell_angle_alpha 90.00
_cell_angle_beta 90.00
_cell_angle_gamma 90.00
loop_
_atom_site_label
_atom_site_type_symbol
_atom_site_fract_x
_atom_site_fract_y
_atom_site_fract_z
Ba1 Ba 0.000 0.000 0.000
In1 In 0.000 0.500 0.250
Cu1 Cu 0.000 0.000 0.500
Cu2 Cu 0.000 0.500 0.750
# VASP energy = -23.56 eV per cell


[4]
# Ba2InCu | Alexandria via LeMat-Bulk | PBE | relaxed
data_Ba2InCu
_symmetry_space_group_name_H-M 'P 4/m m m'
_symmetry_Int_Tables_number 123
_symmetry_space_group_name_Hall '-P 4 2'
_cell_length_a 5.967
_cell_length_b 5.967
_cell_length_c 4.040
_cell_angle_alpha 90.00
_cell_angle_beta 90.00
_cell_angle_gamma 90.00
loop_
_atom_site_label
_atom_site_type_symbol
_atom_site_fract_x
_atom_site_fract_y
_atom_site_fract_z
Ba1 Ba 0.000 0.500 0.000
In1 In 0.000 0.000 0.500
Cu1 Cu 0.500 0.500 0.500
# VASP energy = -11.20 eV per cell